VASP calculation (PBE) on a relaxed structure of LaDyRhAu.

- formation enthalpy at 0 K (eV per formula unit) = -2.96
- magnetization (Bohr magnetons per cell) = 0.00
- DOS(E_F) (states/eV/f.u.) = 4.235

CIF file:
```
data_LaDyRhAu
_chemical_formula_sum 'La4 Dy4 Rh4 Au4'
_cell_length_a 7.217
_cell_length_b 7.217
_cell_length_c 7.217
_cell_angle_alpha 90.00
_cell_angle_beta 90.00
_cell_angle_gamma 90.00
_space_group_name_H-M_alt 'F -4 3 m'
_space_group_IT_number 216
_space_group_name_Hall 'F -4 2 3'
loop_
_atom_site_label
_atom_site_type_symbol
_atom_site_fract_x
_atom_site_fract_y
_atom_site_fract_z
_atom_site_occupancy
La1 La 0.000 0.000 0.000 1
Dy1 Dy 0.000 0.000 0.500 1
Rh1 Rh 0.250 0.250 0.250 1
Au1 Au 0.250 0.250 0.750 1
```

VASP calculation (PBE) on a relaxed structure of NbRhW.

- formation enthalpy at 0 K (eV per formula unit) = -0.60
- magnetization (Bohr magnetons per cell) = 0.00
- DOS(E_F) (states/eV/f.u.) = 2.562
- energy relative to the lowest polymorph listed for this composition (eV per formula unit) = 0.00

CIF file:
```
data_NbRhW
_chemical_formula_sum 'Nb2 Rh2 W2'
_cell_length_a 2.798
_cell_length_b 4.525
_cell_length_c 7.695
_cell_angle_alpha 90.00
_cell_angle_beta 94.67
_cell_angle_gamma 90.00
_space_group_name_H-M_alt 'P 1 21/m 1'
_space_group_IT_number 11
loop_
_space_group_symop_operation_xyz
'x,y,z'
'-x,-y,-z'
'-x,y+1/2,-z'
'x,-y+1/2,z'
loop_
_atom_site_label
_atom_site_type_symbol
_atom_site_fract_x
_atom_site_fract_y
_atom_site_fract_z
_atom_site_occupancy
Nb1 Nb 0.007 0.250 0.278 1
Rh1 Rh 0.439 0.750 0.395 1
W1 W 0.325 0.250 0.928 1
```

VASP calculation (PBE) on a relaxed structure of Ba3PaAg2Se9.

- formation energy (no corrections) (eV/atom) = -1.002
- magnetization (Bohr magnetons per cell) = 0.00
- DOS(E_F) (states/eV/f.u.) = 10.816

CIF file:
```
data_Ba3PaAg2Se9
_chemical_formula_sum 'Ba3 Pa1 Ag2 Se9'
_cell_length_a 7.4969
_cell_length_b 7.4969
_cell_length_c 9.2015
_cell_angle_alpha 90.00
_cell_angle_beta 90.00
_cell_angle_gamma 120.00
_space_group_name_H-M_alt 'P -3 m 1'
_space_group_IT_number 164
_space_group_name_Hall '-P 3 2"'
loop_
_atom_site_label
_atom_site_type_symbol
_atom_site_fract_x
_atom_site_fract_y
_atom_site_fract_z
_atom_site_occupancy
Ba1 Ba 0.0000 0.0000 0.0000 1
Ba2 Ba 0.3333 0.6667 0.6986 1
Pa1 Pa 0.0000 0.0000 0.5000 1
Ag1 Ag 0.3333 0.6667 0.1603 1
Se1 Se 0.0000 0.5000 0.0000 1
Se2 Se 0.1695 0.3391 0.3290 1
```

VASP calculation (PBE) on a relaxed structure of InF3.

- formation energy (no corrections) (eV/atom) = -2.519
- magnetization (Bohr magnetons per cell) = 0.01
- DOS(E_F) (states/eV/f.u.) = 0.000

CIF file:
```
data_InF3
_chemical_formula_sum 'In6 F18'
_cell_length_a 5.5065
_cell_length_b 5.5065
_cell_length_c 14.6841
_cell_angle_alpha 90.00
_cell_angle_beta 90.00
_cell_angle_gamma 120.00
_space_group_name_H-M_alt 'R -3 c'
_space_group_IT_number 167
_space_group_name_Hall '-R 3 2"c'
loop_
_atom_site_label
_atom_site_type_symbol
_atom_site_fract_x
_atom_site_fract_y
_atom_site_fract_z
_atom_site_occupancy
In1 In 0.0000 0.0000 0.0000 1
F1 F 0.0000 0.3841 0.2500 1
```

VASP calculation (PBE) on a relaxed structure of K2CdAsPt.

- formation enthalpy at 0 K (eV per formula unit) = -1.07
- magnetization (Bohr magnetons per cell) = 0.20
- DOS(E_F) (states/eV/f.u.) = 2.542

CIF file:
```
data_K2CdAsPt
_chemical_formula_sum 'K2 Cd1 As1 Pt1'
_cell_length_a 6.391
_cell_length_b 6.391
_cell_length_c 4.606
_cell_angle_alpha 90.00
_cell_angle_beta 90.00
_cell_angle_gamma 90.00
_space_group_name_H-M_alt 'P 4/m m m'
_space_group_IT_number 123
_space_group_name_Hall '-P 4 2'
loop_
_atom_site_label
_atom_site_type_symbol
_atom_site_fract_x
_atom_site_fract_y
_atom_site_fract_z
_atom_site_occupancy
K1 K 0.000 0.500 0.000 1
Cd1 Cd 0.000 0.000 0.500 1
As1 As 0.500 0.500 0.500 1
Pt1 Pt 0.500 0.500 0.000 1
```

VASP calculation (PBE) on a relaxed structure of Ba6AgPd2Au.

- formation enthalpy at 0 K (eV per formula unit) = -4.11
- magnetization (Bohr magnetons per cell) = 0.00
- DOS(E_F) (states/eV/f.u.) = 5.511

CIF file:
```
data_Ba6AgPd2Au
_chemical_formula_sum 'Ba6 Ag1 Pd2 Au1'
_cell_length_a 8.162
_cell_length_b 8.168
_cell_length_c 8.936
_cell_angle_alpha 62.83
_cell_angle_beta 62.84
_cell_angle_gamma 60.04
_space_group_name_H-M_alt 'P 1'
_space_group_IT_number 1
loop_
_space_group_symop_operation_xyz
'x,y,z'
loop_
_atom_site_label
_atom_site_type_symbol
_atom_site_fract_x
_atom_site_fract_y
_atom_site_fract_z
_atom_site_occupancy
Ba1 Ba 0.000 0.000 0.000 1
Ba2 Ba 0.136 0.510 0.496 1
Ba3 Ba 0.280 0.352 0.000 1
Ba4 Ba 0.491 0.856 0.496 1
Ba5 Ba 0.631 0.720 0.000 1
Ba6 Ba 0.789 0.211 0.496 1
Ag1 Ag 0.711 0.431 0.779 1
Pd1 Pd 0.391 0.111 0.738 1
Pd2 Pd 0.889 0.609 0.244 1
Au1 Au 0.212 0.933 0.274 1
```

VASP calculation (PBE) on a relaxed structure of Cu2PdI8.

- formation energy (no corrections) (eV/atom) = -0.072
- magnetization (Bohr magnetons per cell) = 0.00
- DOS(E_F) (states/eV/f.u.) = 16.192
- energy relative to the lowest polymorph listed for this composition (eV per formula unit) = 0.00

CIF file:
```
data_Cu2PdI8
_chemical_formula_sum 'Cu4 Pd2 I16'
_cell_length_a 14.397
_cell_length_b 8.835
_cell_length_c 6.841
_cell_angle_alpha 90.00
_cell_angle_beta 94.24
_cell_angle_gamma 90.00
_space_group_name_H-M_alt 'C 1 2/m 1'
_space_group_IT_number 12
loop_
_space_group_symop_operation_xyz
'x,y,z'
'-x,-y,-z'
'-x,y,-z'
'x,-y,z'
'x+1/2,y+1/2,z'
'-x+1/2,-y+1/2,-z'
'-x+1/2,y+1/2,-z'
'x+1/2,-y+1/2,z'
loop_
_atom_site_label
_atom_site_type_symbol
_atom_site_fract_x
_atom_site_fract_y
_atom_site_fract_z
_atom_site_occupancy
Cu1 Cu 0.167 0.000 0.444 1
Pd1 Pd 0.000 0.000 0.000 1
I1 I 0.081 0.217 0.249 1
I2 I 0.157 0.500 0.563 1
I3 I 0.162 0.000 0.820 1
```

VASP calculation (PBE) on a relaxed structure of LiMgIn3.

- formation enthalpy at 0 K (eV per formula unit) = -0.60
- magnetization (Bohr magnetons per cell) = 0.00
- DOS(E_F) (states/eV/f.u.) = 2.228
- energy relative to the lowest polymorph listed for this composition (eV per formula unit) = 0.00

CIF file:
```
data_LiMgIn3
_chemical_formula_sum 'Li2 Mg2 In6'
_cell_length_a 5.348
_cell_length_b 5.470
_cell_length_c 8.381
_cell_angle_alpha 90.19
_cell_angle_beta 108.01
_cell_angle_gamma 90.03
_space_group_name_H-M_alt 'P 1'
_space_group_IT_number 1
loop_
_space_group_symop_operation_xyz
'x,y,z'
loop_
_atom_site_label
_atom_site_type_symbol
_atom_site_fract_x
_atom_site_fract_y
_atom_site_fract_z
_atom_site_occupancy
Li1 Li 0.000 0.000 0.000 1
Li2 Li 0.441 0.500 0.601 1
Mg1 Mg 0.634 0.500 0.993 1
Mg2 Mg 0.807 0.002 0.608 1
In1 In 0.039 0.502 0.802 1
In2 In 0.209 0.001 0.398 1
In3 In 0.231 0.500 0.203 1
In4 In 0.401 0.001 0.799 1
In5 In 0.606 0.001 0.197 1
In6 In 0.833 0.502 0.404 1
```

VASP calculation (PBE) on a relaxed structure of DyEr2Te.

- formation energy (no corrections) (eV/atom) = -0.514
- magnetization (Bohr magnetons per cell) = 0.00
- DOS(E_F) (states/eV/f.u.) = 4.624
- energy relative to the lowest polymorph listed for this composition (eV per formula unit) = 0.49

CIF file:
```
data_DyEr2Te
_chemical_formula_sum 'Dy3 Er6 Te3'
_cell_length_a 3.8442
_cell_length_b 3.8442
_cell_length_c 29.1516
_cell_angle_alpha 90.00
_cell_angle_beta 90.00
_cell_angle_gamma 120.00
_space_group_name_H-M_alt 'R 3 m'
_space_group_IT_number 160
_space_group_name_Hall 'R 3 -2"'
loop_
_atom_site_label
_atom_site_type_symbol
_atom_site_fract_x
_atom_site_fract_y
_atom_site_fract_z
_atom_site_occupancy
Dy1 Dy 0.0000 0.0000 0.0000 1
Er1 Er 0.0000 0.0000 0.2390 1
Er2 Er 0.0000 0.0000 0.4270 1
Te1 Te 0.0000 0.0000 0.8332 1
```

VASP calculation (PBE) on a relaxed structure of YMgSn2Pd4.

- formation enthalpy at 0 K (eV per formula unit) = -6.08
- magnetization (Bohr magnetons per cell) = 0.00
- DOS(E_F) (states/eV/f.u.) = 2.398

CIF file:
```
data_YMgSn2Pd4
_chemical_formula_sum 'Y3 Mg3 Sn6 Pd12'
_cell_length_a 4.6562
_cell_length_b 4.6562
_cell_length_c 23.7009
_cell_angle_alpha 90.00
_cell_angle_beta 90.00
_cell_angle_gamma 120.00
_space_group_name_H-M_alt 'R -3 m'
_space_group_IT_number 166
_space_group_name_Hall '-R 3 2"'
loop_
_atom_site_label
_atom_site_type_symbol
_atom_site_fract_x
_atom_site_fract_y
_atom_site_fract_z
_atom_site_occupancy
Y1 Y 0.0000 0.0000 0.0000 1
Mg1 Mg 0.0000 0.0000 0.5000 1
Sn1 Sn 0.0000 0.0000 0.2481 1
Pd1 Pd 0.0000 0.0000 0.1282 1
Pd2 Pd 0.0000 0.0000 0.3869 1
```

VASP calculation (PBE) on a relaxed structure of MgTlZnBi.

- formation enthalpy at 0 K (eV per formula unit) = 0.16
- magnetization (Bohr magnetons per cell) = 0.00
- DOS(E_F) (states/eV/f.u.) = 0.586

CIF file:
```
data_MgTlZnBi
_chemical_formula_sum 'Mg4 Tl4 Zn4 Bi4'
_cell_length_a 7.437
_cell_length_b 7.437
_cell_length_c 7.437
_cell_angle_alpha 90.00
_cell_angle_beta 90.00
_cell_angle_gamma 90.00
_space_group_name_H-M_alt 'F -4 3 m'
_space_group_IT_number 216
_space_group_name_Hall 'F -4 2 3'
loop_
_atom_site_label
_atom_site_type_symbol
_atom_site_fract_x
_atom_site_fract_y
_atom_site_fract_z
_atom_site_occupancy
Mg1 Mg 0.000 0.000 0.000 1
Tl1 Tl 0.250 0.250 0.750 1
Zn1 Zn 0.000 0.000 0.500 1
Bi1 Bi 0.250 0.250 0.250 1
```

VASP calculation (PBE) on a relaxed structure of Rb2CoH5.

- E_tot (Ha/atom) = -0.121
- magnetization (Bohr magnetons per cell) = 0.16
- DOS(E_F) (states/eV/f.u.) = 0.128

CIF file:
```
data_Rb2CoH5
_chemical_formula_sum 'Rb4 Co2 H10'
_cell_length_a 6.008
_cell_length_b 6.008
_cell_length_c 7.793
_cell_angle_alpha 90.00
_cell_angle_beta 90.00
_cell_angle_gamma 90.00
_space_group_name_H-M_alt 'I 4 m m'
_space_group_IT_number 107
_space_group_name_Hall 'I 4 -2'
loop_
_atom_site_label
_atom_site_type_symbol
_atom_site_fract_x
_atom_site_fract_y
_atom_site_fract_z
_atom_site_occupancy
Rb1 Rb 0.000 0.500 0.000 1
Co1 Co 0.000 0.000 0.246 1
H1 H 0.000 0.000 0.060 1
H2 H 0.184 0.184 0.248 1
```